Entry P
ZrRePO2 GGA-PBE optimized geometry; theoretical density = 7.5 Mg/m³; space group = P4/mmm, No. 123; volume = 15.07 Å³/atom
1.0
3.807 0.000 0.000
0.000 3.807 0.000
0.000 0.000 5.198
Zr Re P O
1 1 1 2
Direct
0.000 0.000 0.000
0.500 0.500 0.500
0.500 0.500 0.000
0.000 0.500 0.500
0.500 0.000 0.500



Entry Q
ZrRePO2 GGA-PBE optimized geometry; theoretical density = 6.3 Mg/m³; space group = P4/mmm, No. 123; volume = 18.02 Å³/atom
1.0
3.970 0.000 0.000
0.000 3.970 0.000
0.000 0.000 5.716
Zr Re P O
1 1 1 2
Direct
0.000 0.000 0.000
0.500 0.500 0.500
0.000 0.000 0.500
0.000 0.500 0.000
0.500 0.000 0.000



Last place for stability: entry Q



Entry P
P2RhO6 GGA-PBE optimized geometry; theoretical density = 3.9 Mg/m³; space group = C2/c, No. 15; volume = 12.24 Å³/atom
1.0
4.929 -4.480 0.000
4.929 4.480 0.000
-1.081 0.000 4.987
P Rh O
4 2 12
Direct
0.122 0.296 0.232
0.296 0.122 0.732
0.704 0.878 0.268
0.878 0.704 0.768
0.393 0.607 0.750
0.607 0.393 0.250
0.088 0.603 0.793
0.143 0.145 0.457
0.145 0.143 0.957
0.295 0.437 0.296
0.397 0.912 0.707
0.437 0.295 0.796
0.563 0.705 0.204
0.603 0.088 0.293
0.705 0.563 0.704
0.855 0.857 0.043
0.857 0.855 0.543
0.912 0.397 0.207



Entry Q
P2RhO6 GGA-PBE optimized geometry; theoretical density = 3.8 Mg/m³; space group = R3, No. 146; volume = 12.78 Å³/atom
1.0
2.458 1.419 5.498
-2.458 1.419 5.498
0.000 -2.838 5.498
P Rh O
2 1 6
Direct
0.000 0.000 0.000
0.130 0.130 0.130
0.399 0.399 0.399
0.014 0.278 0.660
0.173 0.824 0.443
0.278 0.660 0.014
0.443 0.173 0.824
0.660 0.014 0.278
0.824 0.443 0.173



Last place for stability: entry Q